(1)
Material: Ce3In2Pb3
Method: DFT, PBE-GGA
State: relaxed

Results
Final energy ... -0.33916 Ry/atom
Magnetization ... 0.41 μB per atom
Polymorph energy (0 for the lowest one) ... 48 meV per atom
Calculated density ... 9.18 g cm⁻³

The structure in extended XYZ format:
```
8
Lattice="-2.303 2.393 10.437 2.303 -2.393 10.437 2.303 2.393 -10.437" Properties=species:S:1:pos:R:3 pbc="T T T"
Ce 0.000 0.000 0.000
Ce 2.303 0.000 2.748
Ce 0.000 2.393 7.689
In 0.000 0.000 5.310
In 0.000 0.000 15.565
Pb 2.303 0.000 7.886
Pb 0.000 0.000 10.437
Pb 0.000 2.393 2.552
```

=====

(2)
Material: Ce5InPb3
Method: DFT, PBE-GGA
State: relaxed

Results
Final energy ... -0.38508 Ry/atom
Magnetization ... 0.77 μB per atom
Calculated density ... 8.90 g cm⁻³

The structure in extended XYZ format:
```
18
Lattice="9.679 0.000 0.000 -4.840 8.383 0.000 0.000 0.000 6.612" Properties=species:S:1:pos:R:3 pbc="T T T"
Ce -1.401 2.426 1.653
Ce -3.439 5.956 4.959
Ce 2.802 0.000 1.653
Ce 1.401 2.426 4.959
Ce 0.000 5.588 0.000
Ce 0.000 5.588 3.306
Ce 4.840 2.794 0.000
Ce 4.840 2.794 3.306
Ce 6.877 0.000 4.959
Ce 3.439 5.956 1.653
In 0.000 0.000 0.000
In 0.000 0.000 3.306
Pb -1.781 3.085 4.959
Pb -3.058 5.297 1.653
Pb 3.563 0.000 4.959
Pb 1.781 3.085 1.653
Pb 6.117 0.000 1.653
Pb 3.058 5.297 4.959
```

=====

(3)
Material: Ce5In4Pb
Method: DFT, PBE-GGA
State: relaxed

Results
Final energy ... -0.35241 Ry/atom
Magnetization ... 0.22 μB per atom
Calculated density ... 8.31 g cm⁻³

The structure in extended XYZ format:
```
10
Lattice="3.405 0.000 0.000 0.000 3.405 0.000 0.000 0.000 23.570" Properties=species:S:1:pos:R:3 pbc="T T T"
Ce 0.000 0.000 0.000
Ce 0.000 0.000 4.675
Ce 0.000 0.000 9.354
Ce 0.000 0.000 14.216
Ce 0.000 0.000 18.895
In 1.702 1.702 2.338
In 1.702 1.702 7.014
In 1.702 1.702 16.555
In 1.702 1.702 21.231
Pb 1.702 1.702 11.785
```

=====

(4)
Material: CeIn2Pb
Method: DFT, PBE-GGA
State: relaxed

Results
Final energy ... -0.29430 Ry/atom
Magnetization ... 0.25 μB per atom
Polymorph energy (0 for the lowest one) ... 168 meV per atom
Calculated density ... 8.46 g cm⁻³

The structure in extended XYZ format:
```
4
Lattice="3.297 -4.795 0.000 3.297 4.795 0.000 0.000 0.000 3.580" Properties=species:S:1:pos:R:3 pbc="T T T"
Ce 0.000 0.000 0.000
In 1.649 2.397 1.790
In 1.649 -2.397 1.790
Pb 3.297 0.000 0.000
```